*1*
A geometry-optimized TlPdPb structure. Source: Alexandria, functional PBE.

Computed properties:
SG: P3m1
magnetization: 0.00 Bohr magnetons per cell

Cell: 4.8017 4.3558 4.3558 Å, 120.00 90.00 90.00°
Closest atoms and distances in Å follow each position.
Positions (direct):
Pb 0.2744 0.3333 0.6667  3 Pd 2.84
Tl 0.7243 0.6667 0.3333  3 Pd 2.84
Pd 0.0013 0.0000 0.0000  3 Pb 2.84, 3 Tl 2.84

***

*2*
A geometry-optimized TlPdPb structure. Source: Alexandria, functional PBE.

Computed properties:
SG: Fmmm
magnetization: 0.00 Bohr magnetons per cell

Cell: 6.9172 5.7631 5.6714 Å, 74.44 53.38 52.17°
Closest atoms and distances in Å follow each position.
Positions (direct):
Tl 0.6672 0.3328 0.6672  4 Pd 2.99, 1 Tl 3.23
Tl 0.3328 0.6672 0.3328  4 Pd 2.99, 1 Tl 3.23
Pb 0.1623 0.1623 0.8377  4 Pd 2.97, 1 Pb 3.21
Pb 0.8377 0.8377 0.1623  4 Pd 2.97, 1 Pb 3.21
Pd 0.2500 0.2500 0.2500  2 Pd 2.96, 4 Pb 2.97, 4 Tl 2.99
Pd 0.7500 0.7500 0.7500  2 Pd 2.96, 4 Pb 2.97, 4 Tl 2.99

***

Which one is most stable, and which one is least stable? *2* is the most stable of them, while *1* is the least stable.